1.
Computed, not measured: a relaxed Rb2GaCuF6 crystal at the PBE level of DFT.

Values from the calculation:
distance to the lowest polymorph of the same formula: 20 meV per atom
formation energy (no corrections): -2398 meV per atom

Cell: 5.9908 5.9908 5.9908 Å, 60.00 60.00 60.00°
Fractional positions:
Rb: 0.7500 0.7500 0.7500
Rb: 0.2500 0.2500 0.2500
Ga: 0.0000 0.0000 0.0000
Cu: 0.5000 0.5000 0.5000
F: 0.7700 0.2300 0.2300
F: 0.2300 0.2300 0.7700
F: 0.2300 0.7700 0.7700
F: 0.2300 0.7700 0.2300
F: 0.7700 0.2300 0.7700
F: 0.7700 0.7700 0.2300

2.
Computed, not measured: a relaxed Ta6CoMo5 crystal at the PBE level of DFT.

Values from the calculation:
ΔH_f (0 K): -2.27 eV per formula unit

Cell: 4.5342 6.3995 7.8644 Å, 114.01 106.65 90.00°
Fractional positions:
Mo: 0.6638 0.1638 0.3277
Mo: 0.3331 0.3330 0.6661
Mo: 0.0000 0.5000 0.0000
Mo: 0.6669 0.6670 0.3339
Mo: 0.3362 0.8362 0.6723
Co: 0.0000 0.0000 0.0000
Ta: 0.8341 0.5842 0.6681
Ta: 0.8341 0.0839 0.6681
Ta: 0.5000 0.7510 0.0000
Ta: 0.5000 0.2490 0.0000
Ta: 0.1659 0.9161 0.3319
Ta: 0.1659 0.4158 0.3319

Across the entries above, magnetic moment takes the values 0.1 0.0 μB per formula unit, respectively.